Density functional theory data (GGA-PBE) for a relaxed structure of AcLa5Pm2.

Output
- N(E_F): 26.03 states/eV per cell
- Crystal system: orthorhombic
- Energy relative to the lowest polymorph listed for this composition: 0.000 eV per atom
- Formation energy: 0.014 eV per atom
- Electronic total energy: -4.77 eV per atom

abc: 7.4796 14.9652 5.2891
angles: 90.00 90.00 90.00
Closest atoms and distances in Å follow each position.
Space group Pbam (No. 55)
Inequivalent atoms, fractional coordinates:
Ac (0.0000, 0.0000, 0.0000)  8 La 3.74-3.77, 4 Pm 3.75
La (0.0000, 0.5000, 0.0000)  6 La 3.71-3.74, 2 Ac 3.74, 4 Pm 3.75
La (0.0021, 0.2519, 0.0000)  7 La 3.70-3.75, 4 Pm 3.70-3.75, 1 Ac 3.77
La (0.2455, 0.6271, 0.5000)  4 Pm 3.68-3.80, 6 La 3.70-3.75, 2 Ac 3.77
Pm (0.2501, 0.3731, 0.5000)  10 La 3.68-3.80, 2 Ac 3.75

Density functional theory data (GGA-PBE) for a relaxed structure of K2NiAsPt.

Output
- N(E_F): 6.63 states/eV per cell
- Crystal system: tetragonal
- Formation energy: 0.358 eV per atom
- Electronic total energy: -3.38 eV per atom

abc: 6.3687 6.3687 4.5657
angles: 90.00 90.00 90.00
Closest atoms and distances in Å follow each position.
Space group P4/mmm (No. 123)
Inequivalent atoms, fractional coordinates:
K (0.0000, 0.5000, 0.0000)  2 Pt 3.18
Ni (0.0000, 0.0000, 0.5000)  8 K 3.92
As (0.5000, 0.5000, 0.5000)  2 Pt 2.28
Pt (0.5000, 0.5000, 0.0000)  2 As 2.28

Density functional theory data (GGA-PBE) for a relaxed structure of Cs2LiCu.

Output
- N(E_F): 2.85 states/eV per cell
- Crystal system: cubic
- Energy relative to the lowest polymorph listed for this composition: 0.121 eV per atom
- Formation energy: 0.394 eV per atom
- Electronic total energy: -1.54 eV per atom

abc: 9.2136 9.2136 9.2136
angles: 90.00 90.00 90.00
Closest atoms and distances in Å follow each position.
Space group Fm-3m (No. 225)
Inequivalent atoms, fractional coordinates:
Cs (0.2500, 0.2500, 0.2500)  4 Li 3.99, 4 Cu 3.99
Li (0.0000, 0.0000, 0.0000)  8 Cs 3.99
Cu (0.0000, 0.0000, 0.5000)  8 Cs 3.99

Density functional theory data (GGA-PBE) for a relaxed structure of SiBiPt2.

Output
- N(E_F): 5.85 states/eV per cell
- Crystal system: tetragonal
- Energy relative to the lowest polymorph listed for this composition: 0.000 eV per atom
- Formation energy (no corrections): -0.90 eV per formula unit
- Electronic total energy: -5.57 eV per atom

abc: 7.1477 7.1477 6.3644
angles: 90.00 90.00 90.00
Closest atoms and distances in Å follow each position.
Space group I-42d (No. 122)
Inequivalent atoms, fractional coordinates:
Si (0.0000, 0.0000, 0.0000)  4 Pt 2.32
Bi (0.0000, 0.0000, 0.5000)  8 Pt 3.04-3.23, 2 Si 3.18
Pt (0.1748, 0.2500, 0.1250)  2 Si 2.32

Density functional theory data (GGA-PBE) for a relaxed structure of NbCu3Pd12.

Output
- N(E_F): 17.10 states/eV per cell
- Crystal system: tetragonal
- Formation energy: -0.165 eV per atom
- Electronic total energy: -5.46 eV per atom

abc: 3.9262 3.9262 15.5447
angles: 90.00 90.00 90.00
Closest atoms and distances in Å follow each position.
Space group P4/mmm (No. 123)
Inequivalent atoms, fractional coordinates:
Nb (0.0000, 0.0000, 0.0000)  12 Pd 2.77-2.78
Cu (0.0000, 0.0000, 0.2550)  12 Pd 2.73-2.80
Cu (0.0000, 0.0000, 0.5000)  12 Pd 2.74-2.78
Pd (0.0000, 0.5000, 0.1262)  8 Pd 2.77-2.78, 2 Nb 2.77, 2 Cu 2.80
Pd (0.0000, 0.5000, 0.3770)  4 Cu 2.73-2.74, 8 Pd 2.74-2.78
Pd (0.5000, 0.5000, 0.0000)  8 Pd 2.77, 4 Nb 2.78
Pd (0.5000, 0.5000, 0.2522)  8 Pd 2.76-2.77, 4 Cu 2.78
Pd (0.5000, 0.5000, 0.5000)  8 Pd 2.74, 4 Cu 2.78

Density functional theory data (GGA-PBE) for a relaxed structure of AcTb6Pm3.

Output
- N(E_F): 65.69 states/eV per cell
- Crystal system: trigonal
- Formation energy: 0.315 eV per atom
- Electronic total energy: -4.30 eV per atom

abc: 10.0014 10.0014 12.0217
angles: 90.00 90.00 120.00
Closest atoms and distances in Å follow each position.
Space group R32 (No. 155, hexagonal axes)
Inequivalent atoms, fractional coordinates:
Ac (0.0000, 0.0000, 0.0000)  2 Pm 3.15, 3 Tb 3.39
Tb (0.0000, 0.3392, 0.0000)  1 Ac 3.39, 2 Pm 3.41
Tb (0.0000, 0.6707, 0.5000)  3 Pm 3.29-3.54
Pm (0.0000, 0.0000, 0.2617)  1 Pm 2.86, 1 Ac 3.15
Pm (0.0000, 0.0000, 0.5000)  2 Pm 2.86

Density functional theory data (GGA-PBE) for a relaxed structure of AlFe2Sb.

Output
- N(E_F): 1.57 states/eV per cell
- Crystal system: tetragonal
- Energy relative to the lowest polymorph listed for this composition: 0.037 eV per atom
- Formation energy (no corrections): 0.10 eV per formula unit
- Electronic total energy: -6.17 eV per atom

abc: 4.1875 4.1875 3.0580
angles: 90.00 90.00 90.00
Closest atoms and distances in Å follow each position.
Space group P4/mmm (No. 123)
Inequivalent atoms, fractional coordinates:
Al (0.0000, 0.0000, 0.0000)  8 Fe 2.59
Fe (0.0000, 0.5000, 0.5000)  4 Sb 2.59, 4 Al 2.59
Sb (0.5000, 0.5000, 0.0000)  8 Fe 2.59

Density functional theory data (GGA-PBE) for a relaxed structure of Zr2TlIn.

Output
- N(E_F): 3.12 states/eV per cell
- Crystal system: tetragonal
- Energy relative to the lowest polymorph listed for this composition: 0.177 eV per atom
- Formation energy: -0.016 eV per atom
- Electronic total energy: -5.57 eV per atom

abc: 3.1747 3.1747 9.6207
angles: 90.00 90.00 90.00
Closest atoms and distances in Å follow each position.
Space group P4mm (No. 99)
Inequivalent atoms, fractional coordinates:
Zr (0.0000, 0.0000, 0.0000)  8 Zr 3.15-3.17, 4 Tl 3.35
Zr (0.5000, 0.5000, 0.2299)  8 Zr 3.15-3.17, 4 In 3.24
Tl (0.5000, 0.5000, 0.7414)  4 Tl 3.17, 4 Zr 3.35, 4 In 3.43
In (0.0000, 0.0000, 0.4724)  4 In 3.17, 4 Zr 3.24, 4 Tl 3.43

Density functional theory data (GGA-PBE) for a relaxed structure of ThScRhAu.

Output
- N(E_F): 13.30 states/eV per cell
- Crystal system: cubic
- Formation energy: -0.685 eV per atom
- Electronic total energy: -6.78 eV per atom

abc: 7.0357 7.0357 7.0357
angles: 90.00 90.00 90.00
Closest atoms and distances in Å follow each position.
Space group F-43m (No. 216)
Inequivalent atoms, fractional coordinates:
Th (0.0000, 0.0000, 0.0000)  4 Rh 3.05, 4 Au 3.05
Sc (0.0000, 0.0000, 0.5000)  4 Au 3.05, 4 Rh 3.05
Rh (0.2500, 0.2500, 0.7500)  4 Th 3.05, 4 Sc 3.05
Au (0.2500, 0.2500, 0.2500)  4 Th 3.05, 4 Sc 3.05

Density functional theory data (GGA-PBE) for a relaxed structure of Cu2H2W.

Output
- N(E_F): 6.82 states/eV per cell
- Crystal system: tetragonal
- Energy relative to the lowest polymorph listed for this composition: 0.027 eV per atom
- Electronic total energy: -5.16 eV per atom

abc: 2.7112 2.7112 12.7339
angles: 90.00 90.00 90.00
Closest atoms and distances in Å follow each position.
Space group I4/mmm (No. 139)
Inequivalent atoms, fractional coordinates:
Cu (0.0000, 0.0000, 0.1584)  4 H 1.79
H (0.0000, 0.5000, 0.2500)  4 Cu 1.79, 4 H 1.92
W (0.0000, 0.0000, 0.5000)  4 W 2.71, 8 Cu 2.78

Density functional theory data (GGA-PBE) for a relaxed structure of Zr2HgCl.

Output
- N(E_F): 2.53 states/eV per cell
- Crystal system: tetragonal
- Energy relative to the lowest polymorph listed for this composition: 0.067 eV per atom
- Formation energy (no corrections): -1.91 eV per formula unit
- Electronic total energy: -5.29 eV per atom

abc: 3.1909 3.1909 9.5735
angles: 90.00 90.00 90.00
Closest atoms and distances in Å follow each position.
Space group P4mm (No. 99)
Inequivalent atoms, fractional coordinates:
Zr (0.0000, 0.0000, 0.0000)  4 Hg 3.09, 8 Zr 3.19-3.24
Zr (0.5000, 0.5000, 0.2422)  4 Cl 2.78
Hg (0.5000, 0.5000, 0.7796)  4 Zr 3.09, 4 Hg 3.19
Cl (0.0000, 0.0000, 0.4123)  4 Zr 2.78

Density functional theory data (GGA-PBE) for a relaxed structure of Tb2HgS.

Output
- N(E_F): 5.98 states/eV per cell
- Crystal system: trigonal
- Energy relative to the lowest polymorph listed for this composition: 0.000 eV per atom
- Formation energy (no corrections): -4.87 eV per formula unit
- Electronic total energy: -4.64 eV per atom

abc: 3.8963 3.8963 22.6683
angles: 90.00 90.00 120.00
Closest atoms and distances in Å follow each position.
Space group R-3m (No. 166, hexagonal axes)
Inequivalent atoms, fractional coordinates:
Tb (0.0000, 0.0000, 0.2375)  3 S 2.76
Hg (0.0000, 0.0000, 0.0000)  6 Tb 3.13
S (0.0000, 0.0000, 0.5000)  6 Tb 2.76